Record 1
# LaTcHg2

Crystalline LaTcHg2 at its relaxed geometry (PBE-GGA, Alexandria via LeMat-Bulk).

Computed properties:
**D(E_F)**: 5.95 states/eV/cell
**ΔE to the lowest computed polymorph**: 223 meV/atom
**Calculated formation energy**: 1.4 eV per formula unit
**Total magnetic moment**: 1.6 μB per cell
**SG**: No. 216

```
data_LaTcHg2
_chemical_formula_sum 'La1 Tc1 Hg2'
_cell_length_a 5.0931
_cell_length_b 5.0931
_cell_length_c 5.0931
_cell_angle_alpha 60.00
_cell_angle_beta 60.00
_cell_angle_gamma 60.00
_symmetry_space_group_name_H-M 'P 1'
_symmetry_Int_Tables_number 1
loop_
_symmetry_equiv_pos_as_xyz
'x,y,z'
loop_
_atom_site_label
_atom_site_type_symbol
_atom_site_fract_x
_atom_site_fract_y
_atom_site_fract_z
La1 La 0.0000 0.0000 0.0000
Tc1 Tc 0.7500 0.7500 0.7500
Hg1 Hg 0.2500 0.2500 0.2500
Hg2 Hg 0.5000 0.5000 0.5000
```

Record 2
# Cd4P3

Crystalline Cd4P3 at its relaxed geometry (PBE-GGA, Alexandria via LeMat-Bulk).

Computed properties:
**D(E_F)**: 2.46 states/eV/cell
**Calculated formation energy**: 1.1 eV per formula unit
**Total magnetic moment**: 0.0 μB per cell
**SG**: No. 139

```
data_Cd4P3
_chemical_formula_sum 'Cd4 P3'
_cell_length_a 11.4501
_cell_length_b 11.4501
_cell_length_c 11.4501
_cell_angle_alpha 161.26
_cell_angle_beta 161.26
_cell_angle_gamma 26.62
_symmetry_space_group_name_H-M 'P 1'
_symmetry_Int_Tables_number 1
loop_
_symmetry_equiv_pos_as_xyz
'x,y,z'
loop_
_atom_site_label
_atom_site_type_symbol
_atom_site_fract_x
_atom_site_fract_y
_atom_site_fract_z
Cd1 Cd 0.0627 0.0627 0.0000
Cd2 Cd 0.3079 0.3079 0.0000
Cd3 Cd 0.6921 0.6921 0.0000
Cd4 Cd 0.9373 0.9373 0.0000
P1 P 0.1770 0.1770 0.0000
P2 P 0.5000 0.5000 0.0000
P3 P 0.8230 0.8230 0.0000
```